# SiRhS2N

A relaxed structure of SiRhS2N (PBE, the Alexandria database).

```
SiRhS2N
1.0
4.707 0.000 0.000
0.000 4.707 0.000
0.000 0.000 3.235
Si Rh S N
1 1 2 1
Direct
0.000 0.000 0.000
0.500 0.500 0.500
0.000 0.500 0.000
0.500 0.000 0.000
0.000 0.000 0.500
```

**Energy**: -27.01 eV per formula unit
**Space-group type**: P4/mmm, No. 123

# Nd5Sm4Al

A relaxed structure of Nd5Sm4Al (PBE, the Alexandria database).

```
Nd5Sm4Al
1.0
3.659 0.000 0.000
0.000 3.659 0.000
0.000 0.000 24.620
Nd Sm Al
5 4 1
Direct
0.000 0.000 0.000
0.000 0.000 0.210
0.000 0.000 0.422
0.000 0.000 0.578
0.000 0.000 0.790
0.500 0.500 0.105
0.500 0.500 0.314
0.500 0.500 0.686
0.500 0.500 0.895
0.500 0.500 0.500
```

**Formation energy from the elements**: -50 meV/atom
**Space-group type**: P4/mmm, No. 123

# AcGaGe2Rh

A relaxed structure of AcGaGe2Rh (PBE, the Alexandria database).

```
AcGaGe2Rh
1.0
-2.192 2.192 5.372
2.192 -2.192 5.372
2.192 2.192 -5.372
Ac Ga Ge Rh
1 1 2 1
Direct
0.000 0.000 0.000
0.250 0.750 0.500
0.375 0.375 0.000
0.625 0.625 0.000
0.750 0.250 0.500
```

**Formation energy from the elements**: -616 meV/atom
**Space-group type**: I-4m2, No. 119

# Re2NiRh

A relaxed structure of Re2NiRh (PBE, the Alexandria database).

```
Re2NiRh
1.0
2.682 0.000 0.000
0.000 4.317 0.000
0.000 0.000 4.748
Re Ni Rh
2 1 1
Direct
0.000 0.000 0.000
0.000 0.500 0.323
0.500 0.000 0.496
0.500 0.500 0.809
```

**Formation energy from the elements**: -83 meV/atom
**Space-group type**: Pmm2, No. 25

# CaIBr4

A relaxed structure of CaIBr4 (PBE, the Alexandria database).

```
CaIBr4
1.0
5.232 -7.717 0.000
5.232 7.717 0.000
-3.926 0.000 6.361
Ca I Br
2 2 8
Direct
0.055 0.945 0.750
0.945 0.055 0.250
0.261 0.739 0.250
0.739 0.261 0.750
0.055 0.620 0.418
0.144 0.248 0.096
0.248 0.144 0.596
0.380 0.945 0.082
0.620 0.055 0.918
0.752 0.856 0.404
0.856 0.752 0.904
0.945 0.380 0.582
```

**Energy**: -15.72 eV per formula unit
**Space-group type**: C2/c, No. 15

# Zr2ZnSe

A relaxed structure of Zr2ZnSe (PBE, the Alexandria database).

```
Zr2ZnSe
1.0
3.299 -1.882 0.000
3.299 1.882 0.000
-2.144 0.000 6.568
Zr Zn Se
2 1 1
Direct
0.249 0.249 0.248
0.751 0.751 0.752
0.500 0.500 0.000
0.000 0.000 0.500
```

**Energy**: -24.43 eV per formula unit
**Space-group type**: C2/m, No. 12

# RbLi2BeCo

A relaxed structure of RbLi2BeCo (PBE, the Alexandria database).

```
RbLi2BeCo
1.0
4.968 0.000 0.000
0.000 4.968 0.000
0.000 0.000 6.123
Rb Li Be Co
1 2 1 1
Direct
0.000 0.000 0.000
0.000 0.500 0.500
0.500 0.000 0.500
0.500 0.500 0.000
0.000 0.000 0.500
```

**Formation energy from the elements**: 1208 meV/atom
**Space-group type**: P4/mmm, No. 123

# Al2Ni5Pt12

A relaxed structure of Al2Ni5Pt12 (PBE, the Alexandria database).

```
Al2Ni5Pt12
1.0
7.256 -2.707 0.000
7.256 2.707 0.000
-1.560 0.000 7.701
Al Ni Pt
2 5 12
Direct
0.241 0.759 0.000
0.759 0.241 0.000
0.127 0.127 0.887
0.217 0.217 0.410
0.500 0.500 0.500
0.783 0.783 0.590
0.873 0.873 0.113
0.029 0.029 0.317
0.042 0.540 0.865
0.110 0.616 0.391
0.384 0.890 0.609
0.423 0.423 0.749
0.460 0.958 0.135
0.540 0.042 0.865
0.577 0.577 0.251
0.616 0.110 0.391
0.890 0.384 0.609
0.958 0.460 0.135
0.971 0.971 0.683
```

**Formation energy from the elements**: -4 meV/atom
**Space-group type**: C2/m, No. 12